# RbNa2LiAg | Alexandria | GGA-PBE | relaxed
data_RbNa2LiAg
_chemical_formula_sum 'Rb1 Na2 Li1 Ag1'
_cell_length_a 5.905
_cell_length_b 5.905
_cell_length_c 5.414
_cell_angle_alpha 90.00
_cell_angle_beta 90.00
_cell_angle_gamma 90.00
_symmetry_space_group_name_H-M 'P 1'
_symmetry_Int_Tables_number 1
loop_
_symmetry_equiv_pos_as_xyz
'x,y,z'
loop_
_atom_site_label
_atom_site_type_symbol
_atom_site_fract_x
_atom_site_fract_y
_atom_site_fract_z
Rb1 Rb 0.000 0.000 0.000
Na1 Na 0.000 0.500 0.500
Na2 Na 0.500 0.000 0.500
Li1 Li 0.500 0.500 0.000
Ag1 Ag 0.500 0.500 0.500
# energy of formation	30	kJ/mol of formula units
# distance to the lowest polymorph of the same formula	0.00	kJ per mole of atoms

---

# NaLiAg2Rh | Alexandria | GGA-PBE | relaxed
data_NaLiAg2Rh
_chemical_formula_sum 'Na1 Li1 Ag2 Rh1'
_cell_length_a 4.494
_cell_length_b 4.494
_cell_length_c 4.313
_cell_angle_alpha 90.00
_cell_angle_beta 90.00
_cell_angle_gamma 90.00
_symmetry_space_group_name_H-M 'P 1'
_symmetry_Int_Tables_number 1
loop_
_symmetry_equiv_pos_as_xyz
'x,y,z'
loop_
_atom_site_label
_atom_site_type_symbol
_atom_site_fract_x
_atom_site_fract_y
_atom_site_fract_z
Na1 Na 0.000 0.000 0.000
Li1 Li 0.000 0.000 0.500
Ag1 Ag 0.000 0.500 0.500
Ag2 Ag 0.500 0.000 0.500
Rh1 Rh 0.500 0.500 0.000
# energy of formation	278	kJ/mol of formula units

---

# NaLi2Ag2Sb2 | Alexandria | GGA-PBE | relaxed
data_NaLi2Ag2Sb2
_chemical_formula_sum 'Na1 Li2 Ag2 Sb2'
_cell_length_a 9.006
_cell_length_b 9.006
_cell_length_c 9.006
_cell_angle_alpha 29.87
_cell_angle_beta 29.87
_cell_angle_gamma 29.87
_symmetry_space_group_name_H-M 'P 1'
_symmetry_Int_Tables_number 1
loop_
_symmetry_equiv_pos_as_xyz
'x,y,z'
loop_
_atom_site_label
_atom_site_type_symbol
_atom_site_fract_x
_atom_site_fract_y
_atom_site_fract_z
Na1 Na 0.000 0.000 0.000
Li1 Li 0.140 0.140 0.140
Li2 Li 0.860 0.860 0.860
Ag1 Ag 0.441 0.441 0.441
Ag2 Ag 0.559 0.559 0.559
Sb1 Sb 0.252 0.252 0.252
Sb2 Sb 0.748 0.748 0.748
# formation energy without anion corrections	-345.7	meV per atom

---

# NaLi2AgSe | Alexandria | GGA-PBE | relaxed
data_NaLi2AgSe
_chemical_formula_sum 'Na1 Li2 Ag1 Se1'
_cell_length_a 4.831
_cell_length_b 4.831
_cell_length_c 5.591
_cell_angle_alpha 90.00
_cell_angle_beta 90.00
_cell_angle_gamma 90.00
_symmetry_space_group_name_H-M 'P 1'
_symmetry_Int_Tables_number 1
loop_
_symmetry_equiv_pos_as_xyz
'x,y,z'
loop_
_atom_site_label
_atom_site_type_symbol
_atom_site_fract_x
_atom_site_fract_y
_atom_site_fract_z
Na1 Na 0.000 0.000 0.000
Li1 Li 0.000 0.500 0.500
Li2 Li 0.500 0.000 0.500
Ag1 Ag 0.500 0.500 0.000
Se1 Se 0.000 0.000 0.500
# formation energy without anion corrections	-520.9	meV per atom

---

# Na2LiAgSe2 | Alexandria | GGA-PBE | relaxed
data_Na2LiAgSe2
_chemical_formula_sum 'Na4 Li2 Ag2 Se4'
_cell_length_a 8.269
_cell_length_b 8.269
_cell_length_c 8.269
_cell_angle_alpha 137.35
_cell_angle_beta 61.91
_cell_angle_gamma 137.34
_symmetry_space_group_name_H-M 'P 1'
_symmetry_Int_Tables_number 1
loop_
_symmetry_equiv_pos_as_xyz
'x,y,z'
loop_
_atom_site_label
_atom_site_type_symbol
_atom_site_fract_x
_atom_site_fract_y
_atom_site_fract_z
Na1 Na 0.173 0.233 0.406
Na2 Na 0.327 0.733 0.059
Na3 Na 0.673 0.267 0.941
Na4 Na 0.827 0.767 0.594
Li1 Li 0.250 0.750 0.500
Li2 Li 0.750 0.250 0.500
Ag1 Ag 0.250 0.250 0.000
Ag2 Ag 0.750 0.750 0.000
Se1 Se 0.118 0.728 0.846
Se2 Se 0.382 0.228 0.610
Se3 Se 0.618 0.772 0.390
Se4 Se 0.882 0.272 0.154
# formation energy without anion corrections	-901.6	meV per atom

---

# NaLi2SiAg | Alexandria | GGA-PBE | relaxed
data_NaLi2SiAg
_chemical_formula_sum 'Na1 Li2 Si1 Ag1'
_cell_length_a 5.005
_cell_length_b 5.005
_cell_length_c 4.675
_cell_angle_alpha 90.00
_cell_angle_beta 90.00
_cell_angle_gamma 90.00
_symmetry_space_group_name_H-M 'P 1'
_symmetry_Int_Tables_number 1
loop_
_symmetry_equiv_pos_as_xyz
'x,y,z'
loop_
_atom_site_label
_atom_site_type_symbol
_atom_site_fract_x
_atom_site_fract_y
_atom_site_fract_z
Na1 Na 0.000 0.000 0.000
Li1 Li 0.000 0.500 0.500
Li2 Li 0.500 0.000 0.500
Si1 Si 0.500 0.500 0.000
Ag1 Ag 0.500 0.500 0.500
# formation energy without anion corrections	87.2	meV per atom

---

Taking the records one at a time from the top gives mass density values of 2.2; 6.6; 5.1; 2.8; 4.1; 2.5 g cm⁻³.
Taking the records one at a time from the top gives magnetic moment values of 0.00; 0.00; 0.00; 0.00; 0.00; 0.00 μB/f.u..